Density functional theory data (PBE) for a geometry-optimized Hg2OsSe structure.

a = 2.8768 Å, b = 2.8768 Å, c = 34.5852 Å
α = 90.00°, β = 90.00°, γ = 120.00°
Space group R-3m (No. 166, hexagonal axes)
Inequivalent atoms, fractional coordinates:
Hg: 0.0000 0.0000 0.2385 [6 per cell]
Os: 0.0000 0.0000 0.5000 [3 per cell]
Se: 0.0000 0.0000 0.0000 [3 per cell]

Results
Fermi-level density of states, states/eV/atom: 0.635
E_form (uncorrected), eV/atom: 0.763